Compound: LaAg2W
Source: Alexandria via LeMat-Bulk
Functional: GGA-PBE
Structure: relaxed

## Properties
D(E_F): 3.490 states/eV/f.u.
E_tot: -5.350 eV/atom
energy of formation: 546 meV/atom
distance to the lowest polymorph of the same formula: 0.45 eV per formula unit

Cell: 2.9482 4.0344 7.1439 Å, 90.00 90.00 90.00°
Space group Pmm2 (No. 25)
Asymmetric unit:
La 0.0000 0.0000 0.0000 [1 per cell]
Ag 0.0000 0.0000 0.4798 [1 per cell]
Ag 0.5000 0.5000 0.6888 [1 per cell]
W 0.5000 0.5000 0.2837 [1 per cell]